DFT (PBE) results for a relaxed structure of TaTl3Ni2Te6.

The value obtained for the raw formation energy is -0.135 eV per atom.

The space group is C2/m (No. 12) and the conventional cell measures 6.864, 11.906 and 8.510 Å, with angles of 90.00, 105.41 and 90.00 degrees. The distinct sites, in fractional coordinates, are Ta at (0.000, 0.000, 0.000), Tl at (0.000, 0.159, 0.500), Tl at (0.000, 0.500, 0.500), Ni at (0.000, 0.333, 0.000), Te at (0.207, 0.500, 0.175) and Te at (0.233, 0.175, 0.179).



DFT (PBE) results for a relaxed structure of SrMnPt2.

Its formation energy is -202 meV per atom.

The space group is Imm2 (No. 44) and the conventional cell measures 3.623, 4.597 and 9.606 Å, with angles of 90.00, 90.00 and 90.00 degrees. The distinct sites, in fractional coordinates, are Sr at (0.000, 0.000, 0.000), Mn at (0.000, 0.500, 0.779), Pt at (0.000, 0.000, 0.484) and Pt at (0.000, 0.500, 0.229).



DFT (PBE) results for a relaxed structure of Th4Sb3H4.

Its total energy is -5.60 eV/atom.

The space group is Immm (No. 71) and the conventional cell measures 4.042, 8.086 and 14.681 Å, with angles of 90.00, 90.00 and 90.00 degrees. The distinct sites, in fractional coordinates, are Th at (0.000, 0.000, 0.205), Th at (0.000, 0.218, 0.500), Sb at (0.000, 0.000, 0.000), Sb at (0.000, 0.500, 0.130) and H at (0.000, 0.354, 0.346).



DFT (PBE) results for a relaxed structure of Pu4ThSn2.

Its formation energy is -49 meV per atom.

The space group is Fmmm (No. 69) and the conventional cell measures 6.387, 10.503 and 11.179 Å, with angles of 90.00, 90.00 and 90.00 degrees. The distinct sites, in fractional coordinates, are Pu at (0.250, 0.250, 0.000), Pu at (0.250, 0.250, 0.250), Th at (0.000, 0.000, 0.000) and Sn at (0.000, 0.000, 0.361).



DFT (PBE) results for a relaxed structure of PrTlAg2Br6.

The value obtained for the raw formation energy is -1.033 eV per atom.

The space group is P1 (No. 1) and the conventional cell measures 7.526, 7.531 and 8.113 Å, with angles of 90.04, 117.61 and 119.96 degrees. The distinct sites, in fractional coordinates, are Pr at (0.000, 0.000, 0.000), Tl at (0.034, 0.517, 0.552), Ag at (0.619, 0.810, 0.428), Ag at (0.645, 0.323, 0.967), Br at (0.137, 0.975, 0.719), Br at (0.138, 0.725, 0.205), Br at (0.480, 0.413, 0.205), Br at (0.557, 0.583, 0.719), Br at (0.745, 0.163, 0.720) and Br at (0.793, 0.068, 0.206).



DFT (PBE) results for a relaxed structure of UPa2Fe.

Its formation energy is 111 meV per atom. The value obtained for the polymorph energy (0 for the lowest one) is 37 meV per atom.

The space group is P4/mmm (No. 123) and the conventional cell measures 3.466, 3.466 and 6.692 Å, with angles of 90.00, 90.00 and 90.00 degrees. The distinct sites, in fractional coordinates, are U at (0.000, 0.000, 0.000), Pa at (0.500, 0.500, 0.279) and Fe at (0.000, 0.000, 0.500).